(1)
# CoAgS2

An optimized crystal structure of CoAgS2 (GGA-PBE, the Alexandria database).

The structure belongs to space group P3m1 (No. 156); the cell edges are 3.7381, 3.7381 and 5.7173 Å and the angles 90.00°, 90.00° and 120.00°. The inequivalent atoms are Co at (0.0000, 0.0000, 0.0000), Ag at (0.6667, 0.3333, 0.6062), S at (0.0000, 0.0000, 0.3650) and S at (0.3333, 0.6667, 0.9326).

As for the density of states at the Fermi level: 3.58 states/eV per cell. For the total magnetization, the calculation gives 0.000 μB per atom. Its energy is -4.574 eV per atom. The uncorrected formation energy is -0.021 eV/atom.

---

(2)
# CoAgS2

An optimized crystal structure of CoAgS2 (GGA-PBE, the Alexandria database).

The structure belongs to space group I4_1/amd (No. 141, origin choice 2); the cell edges are 4.924, 4.924 and 10.900 Å and the angles 90.00°, 90.00° and 90.00°. The inequivalent atoms are Co at (0.000, 0.250, 0.375), Ag at (0.000, 0.250, 0.875) and S at (0.000, 0.250, 0.169).

As for the density of states at the Fermi level: 14.12 states/eV per cell. For the total magnetization, the calculation gives 0.322 μB per atom. Its energy is -4.559 eV per atom. The uncorrected formation energy is -0.006 eV/atom.

---

(3)
# CoAg2S

An optimized crystal structure of CoAg2S (GGA-PBE, the Alexandria database).

The structure belongs to space group I-42d (No. 122); the cell edges are 7.362, 7.362 and 5.092 Å and the angles 90.00°, 90.00° and 90.00°. The inequivalent atoms are Co at (0.000, 0.000, 0.000), Ag at (0.231, 0.750, 0.625) and S at (0.000, 0.000, 0.500).

As for the density of states at the Fermi level: 25.65 states/eV per cell. For the total magnetization, the calculation gives 0.342 μB per atom. Its energy is -3.676 eV per atom. The uncorrected formation energy is 0.558 eV/atom.

---

(4)
# CoAgS2

An optimized crystal structure of CoAgS2 (GGA-PBE, the Alexandria database).

The structure belongs to space group Pna2_1 (No. 33); the cell edges are 6.313, 7.788 and 6.253 Å and the angles 90.00°, 90.00° and 90.00°. The inequivalent atoms are Co at (0.069, 0.125, 0.000), Ag at (0.072, 0.622, 0.003), S at (0.054, 0.095, 0.662) and S at (0.110, 0.657, 0.599).

As for the density of states at the Fermi level: 15.17 states/eV per cell. For the total magnetization, the calculation gives 0.000 μB per atom. Its energy is -4.682 eV per atom. The uncorrected formation energy is -0.129 eV/atom.